Entry 1:
Below is a relaxed Ho6Ru2Au crystal, with properties calculated at the PBE level.

D(E_F) ... 7.89 states/eV/f.u.
Space group ... Immm
Energy of formation from the pure elements ... -4.0 eV/f.u.
DFT total energy ... -5.925 eV/atom

Lattice parameters (Å, degrees): 8.3437 8.3437 8.3437 104.31 111.83 112.40
Last column: nearest neighbours and their distance in Å.
Positions (direct):
Ho: 0.3131 0.9829 0.6698  3 Ru 2.71-2.95
Ho: 0.6869 0.3566 0.6698  3 Ru 2.71-2.95
Ho: 0.3131 0.6434 0.3302  3 Ru 2.71-2.95
Ho: 0.9015 0.7209 0.1806  3 Ru 2.93-2.96, 1 Au 3.09
Ho: 0.4597 0.2791 0.1806  3 Ru 2.93-2.96, 1 Au 3.09
Ho: 0.1952 0.2435 0.4387  1 Ru 2.78, 1 Au 3.09
Ho: 0.6869 0.0171 0.3302  3 Ru 2.71-2.95
Ho: 0.8048 0.7565 0.5613  1 Ru 2.78, 1 Au 3.09
Ho: 0.0985 0.2791 0.8194  3 Ru 2.93-2.96, 1 Au 3.09
Ho: 0.5403 0.7209 0.8194  3 Ru 2.93-2.96, 1 Au 3.09
Ho: 0.1952 0.7565 0.9517  1 Ru 2.78, 1 Au 3.09
Ho: 0.8048 0.2435 0.0483  1 Ru 2.78, 1 Au 3.09
Ru: 0.3259 0.0000 0.3259  8 Ho 2.78-2.95, 1 Au 3.05
Ru: 0.5000 0.3735 0.8735  1 Ru 2.59, 2 Ho 2.71
Ru: 0.5000 0.6265 0.1265  1 Ru 2.59, 2 Ho 2.71
Ru: 0.6741 0.0000 0.6741  8 Ho 2.78-2.95, 1 Au 3.05
Au: 0.0000 0.5000 0.5000  8 Ho 3.20-3.39
Au: 0.0000 0.0000 0.0000  2 Ru 3.05, 8 Ho 3.09



Entry 2:
Below is a relaxed Ho4RuAu crystal, with properties calculated at the PBE level.

D(E_F) ... 6.31 states/eV/f.u.
Space group ... C2/c
Energy of formation from the pure elements ... -3.0 eV/f.u.
DFT total energy ... -5.643 eV/atom
Excess energy over the best structure of this formula in the dataset ... 0.000 eV per atom

Lattice parameters (Å, degrees): 6.2471 7.9013 7.9013 111.03 106.86 106.86
Last column: nearest neighbours and their distance in Å.
Positions (direct):
Ru: 0.7500 0.9983 0.0017  8 Ho 2.83-2.92, 2 Ru 3.12
Ru: 0.2500 0.0017 0.9983  8 Ho 2.83-2.92, 2 Ru 3.12
Au: 0.2500 0.3677 0.6323  8 Ho 3.05-3.12
Au: 0.7500 0.6323 0.3677  8 Ho 3.05-3.12
Ho: 0.9118 0.0560 0.7070  2 Ru 2.89-2.92, 2 Au 3.07-3.10
Ho: 0.7041 0.2232 0.3559  2 Ru 2.83-2.87, 2 Au 3.05-3.12
Ho: 0.5882 0.2930 0.9440  2 Ru 2.89-2.92, 2 Au 3.07-3.10
Ho: 0.4118 0.7070 0.0560  2 Ru 2.89-2.92, 2 Au 3.07-3.10
Ho: 0.2041 0.3559 0.2232  2 Ru 2.83-2.87, 2 Au 3.05-3.12
Ho: 0.0882 0.9440 0.2930  2 Ru 2.89-2.92, 2 Au 3.07-3.10
Ho: 0.2959 0.7768 0.6441  2 Ru 2.83-2.87, 2 Au 3.05-3.12
Ho: 0.7959 0.6441 0.7768  2 Ru 2.83-2.87, 2 Au 3.05-3.12



Entry 3:
Below is a relaxed Ho2RuAu crystal, with properties calculated at the PBE level.

D(E_F) ... 2.51 states/eV/f.u.
Space group ... P4/mmm
Energy of formation from the pure elements ... -2.7 eV/f.u.
DFT total energy ... -6.103 eV/atom

Lattice parameters (Å, degrees): 3.4224 3.4224 7.2521 90.00 90.00 90.00
Last column: nearest neighbours and their distance in Å.
Positions (direct):
Ho: 0.0000 0.0000 0.7700  4 Ru 2.94, 4 Au 3.11
Ho: 0.0000 0.0000 0.2300  4 Ru 2.94, 4 Au 3.11
Ru: 0.5000 0.5000 0.0000  8 Ho 2.94
Au: 0.5000 0.5000 0.5000  8 Ho 3.11, 4 Au 3.42



Entry 4:
Below is a relaxed Ho7Ru2Au2 crystal, with properties calculated at the PBE level.

D(E_F) ... 9.50 states/eV/f.u.
Space group ... Cmmm
Energy of formation from the pure elements ... -4.2 eV/f.u.
DFT total energy ... -5.581 eV/atom
Excess energy over the best structure of this formula in the dataset ... 0.140 eV per atom

Lattice parameters (Å, degrees): 6.6030 6.9947 6.6030 90.00 108.02 90.00
Last column: nearest neighbours and their distance in Å.
Positions (direct):
Ho: 0.5000 0.7514 0.5000  2 Ru 2.81, 2 Au 3.00
Ho: 0.0000 0.2598 0.5000  2 Ru 2.70
Ho: 0.5000 0.7402 0.0000  2 Ru 2.70
Ho: 0.0000 0.7402 0.5000  2 Ru 2.70
Ho: 0.5000 0.2486 0.5000  2 Ru 2.81, 2 Au 3.00
Ho: 0.0000 0.0000 0.0000  2 Ru 3.14
Ho: 0.5000 0.2598 0.0000  2 Ru 2.70
Ru: 0.2937 0.0000 0.7063  6 Ho 2.70-2.81
Ru: 0.7063 0.0000 0.2937  6 Ho 2.70-2.81
Au: 0.1869 0.5000 0.1869  1 Au 2.90, 6 Ho 3.00-3.19
Au: 0.8131 0.5000 0.8131  1 Au 2.90, 6 Ho 3.00-3.19



Entry 5:
Below is a relaxed HoScRuAu crystal, with properties calculated at the PBE level.

D(E_F) ... 2.08 states/eV/f.u.
Space group ... F-43m
Energy of formation from the pure elements ... -2.4 eV/f.u.
DFT total energy ... -6.478 eV/atom

Lattice parameters (Å, degrees): 4.8063 4.8063 4.8063 60.00 60.00 60.00
Last column: nearest neighbours and their distance in Å.
Positions (direct):
Sc: 0.2500 0.2500 0.2500  4 Au 2.94, 4 Ru 2.94
Ru: 0.5000 0.5000 0.5000  4 Ho 2.94, 4 Sc 2.94
Au: 0.0000 0.0000 0.0000  4 Sc 2.94, 4 Ho 2.94
Ho: 0.7500 0.7500 0.7500  4 Ru 2.94, 4 Au 2.94



Entry 6:
Below is a relaxed SmHoRuAu crystal, with properties calculated at the PBE level.

D(E_F) ... 2.61 states/eV/f.u.
Space group ... F-43m
Energy of formation from the pure elements ... -2.1 eV/f.u.
DFT total energy ... -5.993 eV/atom

Lattice parameters (Å, degrees): 4.9931 4.9931 4.9931 60.00 60.00 60.00
Last column: nearest neighbours and their distance in Å.
Positions (direct):
Sm: 0.0000 0.0000 0.0000  4 Au 3.06, 4 Ru 3.06
Ho: 0.5000 0.5000 0.5000  4 Ru 3.06, 4 Au 3.06
Ru: 0.7500 0.7500 0.7500  4 Sm 3.06, 4 Ho 3.06
Au: 0.2500 0.2500 0.2500  4 Ho 3.06, 4 Sm 3.06



Entry 7:
Below is a relaxed HoSnRuAu crystal, with properties calculated at the PBE level.

D(E_F) ... 3.49 states/eV/f.u.
Space group ... F-43m
Energy of formation from the pure elements ... -1.4 eV/f.u.
DFT total energy ... -5.624 eV/atom

Lattice parameters (Å, degrees): 4.8064 4.8064 4.8064 60.00 60.00 60.00
Last column: nearest neighbours and their distance in Å.
Positions (direct):
Sn: 0.5000 0.5000 0.5000  4 Au 2.94, 4 Ru 2.94
Au: 0.2500 0.2500 0.2500  4 Sn 2.94, 4 Ho 2.94
Ru: 0.7500 0.7500 0.7500  4 Sn 2.94, 4 Ho 2.94
Ho: 0.0000 0.0000 0.0000  4 Ru 2.94, 4 Au 2.94



Entry 8:
Below is a relaxed Ho2AuS crystal, with properties calculated at the PBE level.

D(E_F) ... 2.11 states/eV/f.u.
Space group ... R-3m
DFT total energy ... -5.497 eV/atom
Formation energy from raw total energies ... -1.357 eV/atom
Excess energy over the best structure of this formula in the dataset ... 0.058 eV per atom

Lattice parameters (Å, degrees): 3.8681 3.8681 7.5314 75.12 75.12 60.00
Last column: nearest neighbours and their distance in Å.
Positions (direct):
S: 0.0000 0.0000 0.0000  6 Ho 2.80
Ho: 0.2554 0.2554 0.2338  3 S 2.80, 3 Au 2.94
Ho: 0.7446 0.7446 0.7662  3 S 2.80, 3 Au 2.94
Au: 0.5000 0.5000 0.5000  6 Ho 2.94



Entry 9:
Below is a relaxed Ho6Au2S crystal, with properties calculated at the PBE level.

D(E_F) ... 9.22 states/eV/f.u.
Space group ... P2_1/c
DFT total energy ... -5.074 eV/atom
Formation energy from raw total energies ... -0.836 eV/atom

Lattice parameters (Å, degrees): 6.5290 7.2524 10.1140 90.00 87.26 90.00
Last column: nearest neighbours and their distance in Å.
Positions (direct):
Ho: 0.1658 0.3046 0.9383  1 S 2.70, 2 Au 2.94-2.98
Ho: 0.1445 0.0293 0.2450  1 S 2.71, 2 Au 2.93-2.94
Ho: 0.8555 0.9707 0.7550  1 S 2.71, 2 Au 2.93-2.94
Ho: 0.8307 0.6719 0.4343  1 S 2.72, 2 Au 2.92-2.97
Ho: 0.3342 0.8046 0.5617  1 S 2.70, 2 Au 2.94-2.98
Ho: 0.6693 0.1719 0.0657  1 S 2.72, 2 Au 2.92-2.97
Ho: 0.6445 0.4707 0.7450  1 S 2.71, 2 Au 2.93-2.94
Ho: 0.6658 0.1954 0.4383  1 S 2.70, 2 Au 2.94-2.98
Ho: 0.3555 0.5293 0.2550  1 S 2.71, 2 Au 2.93-2.94
Ho: 0.3307 0.8281 0.9343  1 S 2.72, 2 Au 2.92-2.97
Ho: 0.1693 0.3281 0.5657  1 S 2.72, 2 Au 2.92-2.97
Ho: 0.8342 0.6954 0.0617  1 S 2.70, 2 Au 2.94-2.98
S: 0.5000 0.5000 0.0000  6 Ho 2.70-2.72
S: 0.0000 0.0000 0.5000  6 Ho 2.70-2.72
Au: 0.5628 0.8892 0.2628  6 Ho 2.92-2.98
Au: 0.4372 0.1108 0.7372  6 Ho 2.92-2.98
Au: 0.0628 0.6108 0.7628  6 Ho 2.92-2.98
Au: 0.9372 0.3892 0.2372  6 Ho 2.92-2.98



Entry 10:
Below is a relaxed HoAuS2 crystal, with properties calculated at the PBE level.

D(E_F) ... 0.00 states/eV/f.u.
Space group ... R-3m
DFT total energy ... -5.326 eV/atom
Formation energy from raw total energies ... -1.298 eV/atom

Lattice parameters (Å, degrees): 4.1036 4.1036 7.7397 74.63 74.63 60.00
Last column: nearest neighbours and their distance in Å.
Positions (direct):
Au: 0.0000 0.0000 0.0000  2 S 2.31
Ho: 0.5000 0.5000 0.5000  6 S 2.74
S: 0.8956 0.8956 0.3131  1 Au 2.31
S: 0.1044 0.1044 0.6869  1 Au 2.31



Entry 11:
Below is a relaxed Ho4AuS3 crystal, with properties calculated at the PBE level.

D(E_F) ... 4.86 states/eV/f.u.
Space group ... Cmmm
DFT total energy ... -5.897 eV/atom
Formation energy from raw total energies ... -1.651 eV/atom

Lattice parameters (Å, degrees): 3.8736 6.9329 6.9329 108.61 90.00 90.00
Last column: nearest neighbours and their distance in Å.
Positions (direct):
Ho: 0.0000 0.7423 0.7423  4 S 2.76-2.82, 2 Au 2.85
Ho: 0.0000 0.2577 0.2577  4 S 2.76-2.82, 2 Au 2.85
Ho: 0.5000 0.7453 0.2547  5 S 2.76-2.80, 1 Au 2.87
Ho: 0.5000 0.2547 0.7453  5 S 2.76-2.80, 1 Au 2.87
S: 0.5000 0.5000 0.5000  6 Ho 2.76
S: 0.0000 0.0000 0.5000  6 Ho 2.80-2.82
S: 0.0000 0.5000 0.0000  6 Ho 2.80-2.82
Au: 0.5000 0.0000 0.0000  6 Ho 2.85-2.87